DFT (PBE) results for an optimized crystal structure of PaCoSi.

Structure (POSCAR):
```
PaCoSi
1.0
0.000 3.039 3.039
3.039 0.000 3.039
3.039 3.039 0.000
Pa Co Si
1 1 1
Direct
0.000 0.000 0.000
0.750 0.750 0.750
0.500 0.500 0.500
```

Output
Raw formation energy in meV per atom: -550
N(E_F) in states/eV/cell: 1.5
Total energy in hartree per atom: -0.290
Space group: F-43m, No. 216
Total magnetization in μB per formula unit: 0.00